Compound: LaHfBiI2
Source: Alexandria via LeMat-Bulk
Functional: PBE
Structure: optimized geometry

POSCAR file:
```
LaHfBiI2
1.0
6.023 0.000 0.000
0.000 6.023 0.000
0.000 0.000 6.577
La Hf Bi I
1 1 1 2
Direct
0.000 0.000 0.000
0.500 0.500 0.500
0.000 0.000 0.500
0.000 0.500 0.000
0.500 0.000 0.000
```

Output
DFT total energy: -4.01 eV per atom
energy relative to the elements, uncorrected: 0.37 eV per atom
SG: No. 123